(1)
Computed, not measured: crystalline Li2Pm2CuGe4 at its relaxed geometry at the PBE level of DFT.

Computed properties:
Energy of formation from the pure elements ... -0.4693 eV/atom
Spin magnetization ... 0.00 μB per formula unit

Cell: 6.3087 6.3087 8.7146 Å, 90.00 90.00 90.00°
Space group I4/mmm (No. 139)
Symmetry-distinct sites (fractional):
Li 0.0000 0.0000 0.2102 x4
Pm 0.0000 0.5000 0.2500 x4
Cu 0.0000 0.0000 0.5000 x2
Ge 0.2230 0.2230 0.0000 x8

(2)
Computed, not measured: crystalline Mn2CdIr2 at its relaxed geometry at the PBE level of DFT.

Computed properties:
Energy of formation from the pure elements ... 0.1174 eV/atom
Spin magnetization ... 2.75 μB per formula unit

Cell: 7.3478 7.3478 2.7155 Å, 90.00 90.00 90.00°
Space group P4/mbm (No. 127)
Symmetry-distinct sites (fractional):
Mn 0.1144 0.3856 0.0000 x4
Cd 0.0000 0.0000 0.0000 x2
Ir 0.1737 0.6737 0.5000 x4

(3)
Computed, not measured: crystalline CaPm4Sn2 at its relaxed geometry at the PBE level of DFT.

Computed properties:
Energy of formation from the pure elements ... -0.1949 eV/atom
Spin magnetization ... 0.00 μB per formula unit

Cell: 4.5706 4.5706 26.5510 Å, 90.00 90.00 90.00°
Space group I4/mmm (No. 139)
Symmetry-distinct sites (fractional):
Ca 0.0000 0.0000 0.0000 x2
Pm 0.0000 0.0000 0.1382 x4
Pm 0.0000 0.5000 0.2500 x4
Sn 0.0000 0.0000 0.3438 x4

(4)
Computed, not measured: crystalline TbNdIn4 at its relaxed geometry at the PBE level of DFT.

Computed properties:
Energy of formation from the pure elements ... -0.3860 eV/atom
Spin magnetization ... 0.00 μB per formula unit

Cell: 8.5527 8.5527 8.5527 Å, 90.00 90.00 90.00°
Space group F-43m (No. 216)
Symmetry-distinct sites (fractional):
Tb 0.0000 0.0000 0.0000 x4
Nd 0.2500 0.2500 0.2500 x4
In 0.1251 0.1251 0.6251 x16

(5)
Computed, not measured: crystalline Rb2NpSbSe5 at its relaxed geometry at the PBE level of DFT.

Computed properties:
E ... -4.89 eV/atom
Spin magnetization ... 1.99 μB per formula unit

Cell: 4.4001 19.0295 15.4351 Å, 90.00 90.00 90.00°
Space group Cmc2_1 (No. 36)
Symmetry-distinct sites (fractional):
Rb 0.0000 0.1022 0.0000 x4
Rb 0.0000 0.1425 0.6466 x4
Np 0.0000 0.2083 0.3684 x4
Sb 0.0000 0.4567 0.7719 x4
Se 0.0000 0.0659 0.3935 x4
Se 0.0000 0.2828 0.9809 x4
Se 0.0000 0.3175 0.7473 x4
Se 0.0000 0.3423 0.3296 x4
Se 0.0000 0.4990 0.1177 x4

(6)
Computed, not measured: crystalline NaAs2CBr at its relaxed geometry at the PBE level of DFT.

Computed properties:
E ... -3.79 eV/atom
Spin magnetization ... 0.14 μB per formula unit

Cell: 4.1335 4.1335 8.8504 Å, 90.00 90.00 90.00°
Space group P4/mmm (No. 123)
Symmetry-distinct sites (fractional):
Na 0.0000 0.0000 0.0000 x1
As 0.0000 0.5000 0.5000 x2
C 0.5000 0.5000 0.5000 x1
Br 0.5000 0.5000 0.0000 x1